Below is an optimized crystal structure of Sm4HoSc3S8, with properties calculated at the PBE-GGA level.

Summary:
volume = 330.1 Å³/f.u.
formation energy (no corrections) = -1.94 eV per atom
DOS at the Fermi energy = 9.2 states/eV per cell
total energy = -106.5 eV for the cell shown

a = 7.695 Å, b = 7.823 Å, c = 7.695 Å
α = 119.46°, β = 120.00°, γ = 90.00°
Atoms (fractional coordinates):
S: 0.754 0.272 0.018
S: 0.246 0.728 0.982
S: 0.264 0.272 0.018
S: 0.259 0.276 0.518
S: 0.754 0.272 0.508
S: 0.741 0.724 0.482
S: 0.736 0.728 0.982
S: 0.246 0.728 0.492
Sc: 0.000 0.500 0.500
Sc: 0.500 0.500 0.000
Sc: 0.500 0.500 0.500
Sm: 0.000 0.000 0.000
Sm: 0.500 0.000 0.000
Sm: 0.500 0.000 0.500
Sm: 0.000 0.000 0.500
Ho: 0.000 0.500 0.000